[1]
## ZrTaCl2 (PBE)

Data for a relaxed ZrTaCl2 crystal.

For the uncorrected formation energy, the calculation gives -82 meV/atom.

Geometry as extended XYZ:
```
4
Lattice="-1.552 2.338 5.103 1.552 -2.338 5.103 1.552 2.338 -5.103" Properties=species:S:1:pos:R:3 pbc="T T T"
Zr 0.000 0.000 0.000
Ta 0.000 2.338 2.316
Cl 1.552 0.000 2.295
Cl 0.000 0.000 5.297
```

***

[2]
## Be2CrTe (PBE)

Data for a relaxed Be2CrTe crystal.

For the uncorrected formation energy, the calculation gives 907 meV/atom.

Geometry as extended XYZ:
```
8
Lattice="-3.397 3.397 2.525 3.397 -3.397 2.525 3.397 3.397 -2.525" Properties=species:S:1:pos:R:3 pbc="T T T"
Be 1.699 1.634 -0.631
Be 1.763 -1.699 3.156
Be 1.699 1.763 1.894
Be 1.634 5.096 0.631
Cr 0.000 0.000 0.000
Cr 0.000 3.397 1.262
Te 3.397 0.000 1.262
Te 0.000 0.000 2.525
```

***

[3]
## Mg2CuIr (PBE)

Data for a relaxed Mg2CuIr crystal.

Its formation energy is 0.07 eV/atom.

Geometry as extended XYZ:
```
4
Lattice="1.442 0.833 9.096 -1.442 0.833 9.096 0.000 -1.665 9.096" Properties=species:S:1:pos:R:3 pbc="T T T"
Mg 0.000 0.000 0.000
Mg 0.000 0.000 6.339
Cu 0.000 0.000 13.287
Ir 0.000 0.000 20.299
```

***

VASP energy for the records above, in order: -6.11; -4.15; -3.97 eV/atom